(1)
First-principles (PBE) data for NbCoNiBi after structural relaxation, as listed in the Open Quantum Materials Database.

a b c (Å): 4.5067 4.5067 4.5067
angles (deg): 60.00 60.00 60.00
Atoms (fractional coordinates):
1 Ni 0.7500 0.7500 0.7500
2 Nb 0.2500 0.2500 0.2500
3 Co 0.5000 0.5000 0.5000
4 Bi 0.0000 0.0000 0.0000

Summary:
offset from the most stable computed form: 0.1580 eV/atom
size of the total moment: 0.01 Bohr magnetons per cell
calculated volume: 16.2 Å³/atom
crystal system: cubic

=====

(2)
First-principles (PBE) data for DyHoIn6 after structural relaxation, as listed in the Open Quantum Materials Database.

a b c (Å): 6.6326 6.6326 5.1845
angles (deg): 90.00 90.00 120.00
Atoms (fractional coordinates):
1 In 0.5045 0.4955 0.0000
2 In 0.5045 0.0091 0.0000
3 In 0.8283 0.6566 0.5000
4 In 0.8283 0.1717 0.5000
5 In 0.9909 0.4955 0.0000
6 In 0.3434 0.1717 0.5000
7 Ho 0.3333 0.6667 0.5000
8 Dy 0.0000 0.0000 0.0000

Summary:
size of the total moment: 0.00 Bohr magnetons per cell
calculated volume: 24.7 Å³/atom
energy: -3.54 eV per atom
crystal system: hexagonal

=====

(3)
First-principles (PBE) data for PuNbIn after structural relaxation, as listed in the Open Quantum Materials Database.

a b c (Å): 4.7684 4.7684 4.7684
angles (deg): 60.00 60.00 60.00
Each line ends with the local moment (μB).
Atoms (fractional coordinates):
1 In 0.5000 0.5000 0.5000  -0.03
2 Pu 0.0000 0.0000 0.0000  4.99
3 Nb 0.2500 0.2500 0.2500  -0.62

Summary:
offset from the most stable computed form: 0.0000 eV/atom
size of the total moment: 4.41 Bohr magnetons per cell
calculated volume: 25.6 Å³/atom
crystal system: cubic

=====

(4)
First-principles (PBE) data for KPrPO after structural relaxation, as listed in the Open Quantum Materials Database.

a b c (Å): 5.9154 5.9154 5.3239
angles (deg): 90.00 90.00 90.00
Atoms (fractional coordinates):
1 O 0.2500 0.7500 0.0000
2 O 0.7500 0.2500 0.0000
3 K 0.2500 0.2500 0.0027
4 K 0.7500 0.7500 0.9973
5 P 0.2500 0.2500 0.5029
6 P 0.7500 0.7500 0.4971
7 Pr 0.7500 0.2500 0.5000
8 Pr 0.2500 0.7500 0.5000

Summary:
offset from the most stable computed form: 0.3625 eV/atom
size of the total moment: 1.92 Bohr magnetons per cell
calculated volume: 23.3 Å³/atom
crystal system: tetragonal

=====

(5)
First-principles (PBE) data for Y2HoMg3Pd2Pt after structural relaxation, as listed in the Open Quantum Materials Database.

a b c (Å): 4.1046 7.3709 7.3709
angles (deg): 119.77 90.00 90.00
Atoms (fractional coordinates):
1 Ho 0.0000 0.5933 0.5933
2 Mg 0.5000 0.2436 0.2436
3 Mg 0.5000 0.7555 0.0003
4 Mg 0.5000 0.0003 0.7555
5 Pt 0.0000 0.9972 0.9972
6 Pd 0.5000 0.6656 0.3363
7 Pd 0.5000 0.3363 0.6656
8 Y 0.0000 0.0000 0.4081
9 Y 0.0000 0.4081 0.0000

Summary:
size of the total moment: 0.01 Bohr magnetons per cell
calculated volume: 21.5 Å³/atom
energy: -5.07 eV per atom
crystal system: orthorhombic

=====

(6)
First-principles (PBE) data for Hf3CdB4 after structural relaxation, as listed in the Open Quantum Materials Database.

a b c (Å): 3.1602 3.4585 9.2864
angles (deg): 90.00 90.00 90.00
Atoms (fractional coordinates):
1 Hf 0.0000 0.0000 0.5000
2 Hf 0.5000 0.0000 0.7915
3 Hf 0.5000 0.0000 0.2085
4 B 0.5000 0.5000 0.3984
5 B 0.0000 0.5000 0.3053
6 B 0.5000 0.5000 0.6016
7 B 0.0000 0.5000 0.6947
8 Cd 0.0000 0.5000 0.0000

Summary:
size of the total moment: 0.00 Bohr magnetons per cell
calculated volume: 12.7 Å³/atom
energy: -7.92 eV per atom
crystal system: orthorhombic

=====

(7)
First-principles (PBE) data for Tb2GdCd after structural relaxation, as listed in the Open Quantum Materials Database.

a b c (Å): 6.9439 6.9439 5.4813
angles (deg): 90.00 90.00 119.98
Atoms (fractional coordinates):
1 Cd 0.1662 0.8338 0.7500
2 Cd 0.8338 0.1662 0.2500
3 Tb 0.6719 0.8440 0.7500
4 Tb 0.3281 0.1560 0.2500
5 Tb 0.1560 0.3281 0.7500
6 Tb 0.8440 0.6719 0.2500
7 Gd 0.3277 0.6723 0.2500
8 Gd 0.6723 0.3277 0.7500

Summary:
E_form: -105.3 meV/atom
size of the total moment: 0.32 Bohr magnetons per cell
calculated volume: 28.6 Å³/atom
crystal system: orthorhombic

=====

(8)
First-principles (PBE) data for RbErAgTe3 after structural relaxation, as listed in the Open Quantum Materials Database.

a b c (Å): 8.7207 8.7207 11.3334
angles (deg): 90.00 90.00 151.66
Atoms (fractional coordinates):
1 Ag 0.4632 0.5368 0.2500
2 Ag 0.5368 0.4632 0.7500
3 Te 0.0733 0.9267 0.2500
4 Te 0.6269 0.3731 0.9552
5 Te 0.9267 0.0733 0.7500
6 Te 0.3731 0.6269 0.4552
7 Te 0.6269 0.3731 0.5448
8 Te 0.3731 0.6269 0.0448
9 Er 0.0000 0.0000 0.0000
10 Er 0.0000 0.0000 0.5000
11 Rb 0.7547 0.2453 0.2500
12 Rb 0.2453 0.7547 0.7500

Summary:
size of the total moment: 0.01 Bohr magnetons per cell
calculated volume: 34.1 Å³/atom
energy: -3.87 eV per atom
crystal system: orthorhombic

=====

(9)
First-principles (PBE) data for Zn2Ir after structural relaxation, as listed in the Open Quantum Materials Database.

a b c (Å): 4.6580 8.2090 4.4398
angles (deg): 90.00 90.00 90.00
Atoms (fractional coordinates):
1 Zn 0.9927 0.3333 0.0000
2 Zn 0.3297 0.3333 0.5000
3 Zn 0.5079 0.1610 0.0000
4 Zn 0.8406 0.8333 0.5000
5 Zn 0.3255 0.6610 0.5000
6 Zn 0.5079 0.5057 0.0000
7 Zn 0.3255 0.0057 0.5000
8 Zn 0.5036 0.8333 0.0000
9 Ir 0.8197 0.1675 0.5000
10 Ir 0.0136 0.6675 0.0000
11 Ir 0.8197 0.4992 0.5000
12 Ir 0.0136 0.9992 0.0000

Summary:
E_form: -109.0 meV/atom
size of the total moment: 0.01 Bohr magnetons per cell
calculated volume: 14.1 Å³/atom
crystal system: orthorhombic

=====

(10)
First-principles (PBE) data for NbNiPb2 after structural relaxation, as listed in the Open Quantum Materials Database.

a b c (Å): 4.9625 4.9625 4.9625
angles (deg): 60.00 60.00 60.00
Atoms (fractional coordinates):
1 Pb 0.7500 0.7500 0.7500
2 Pb 0.0000 0.0000 0.0000
3 Nb 0.5000 0.5000 0.5000
4 Ni 0.2500 0.2500 0.2500

Summary:
size of the total moment: 2.10 Bohr magnetons per cell
calculated volume: 21.6 Å³/atom
energy: -5.04 eV per atom
crystal system: cubic

=====

(11)
First-principles (PBE) data for SrTe2Au after structural relaxation, as listed in the Open Quantum Materials Database.

a b c (Å): 5.4255 5.4255 5.4255
angles (deg): 60.00 60.00 60.00
Atoms (fractional coordinates):
1 Te 0.7500 0.7500 0.7500
2 Te 0.0000 0.0000 0.0000
3 Sr 0.5000 0.5000 0.5000
4 Au 0.2500 0.2500 0.2500

Summary:
calculated volume: 28.2 Å³/atom
energy: -3.24 eV per atom
crystal system: cubic

=====

(12)
First-principles (PBE) data for AcTbBi after structural relaxation, as listed in the Open Quantum Materials Database.

a b c (Å): 5.6362 5.6362 5.6362
angles (deg): 60.00 60.00 60.00
Atoms (fractional coordinates):
1 Bi 0.2500 0.2500 0.2500
2 Ac 0.0000 0.0000 0.0000
3 Tb 0.7500 0.7500 0.7500

Summary:
offset from the most stable computed form: 0.6335 eV/atom
size of the total moment: 0.84 Bohr magnetons per cell
calculated volume: 42.2 Å³/atom
crystal system: cubic

=====

(13)
First-principles (PBE) data for LiTa2Bi after structural relaxation, as listed in the Open Quantum Materials Database.

a b c (Å): 4.7553 4.7553 4.7553
angles (deg): 60.00 60.00 60.00
Atoms (fractional coordinates):
1 Li 0.2500 0.2500 0.2500
2 Ta 0.0000 0.0000 0.0000
3 Ta 0.7500 0.7500 0.7500
4 Bi 0.5000 0.5000 0.5000

Summary:
size of the total moment: 0.01 Bohr magnetons per cell
calculated volume: 19.0 Å³/atom
energy: -6.96 eV per atom
crystal system: cubic

=====

(14)
First-principles (PBE) data for YHoTm after structural relaxation, as listed in the Open Quantum Materials Database.

a b c (Å): 5.3779 5.3779 5.3779
angles (deg): 60.00 60.00 60.00
Atoms (fractional coordinates):
1 Y 0.7500 0.7500 0.7500
2 Ho 0.2500 0.2500 0.2500
3 Tm 0.0000 0.0000 0.0000

Summary:
E_form: 724.1 meV/atom
offset from the most stable computed form: 0.0000 eV/atom
size of the total moment: 0.03 Bohr magnetons per cell
calculated volume: 36.7 Å³/atom
crystal system: cubic

=====

(15)
First-principles (PBE) data for PrPuTc after structural relaxation, as listed in the Open Quantum Materials Database.

a b c (Å): 4.5860 4.5860 4.5860
angles (deg): 60.00 60.00 60.00
Atoms (fractional coordinates):
1 Tc 0.7500 0.7500 0.7500
2 Pu 0.0000 0.0000 0.0000
3 Pr 0.2500 0.2500 0.2500

Summary:
E_form: 1337.6 meV/atom
size of the total moment: 0.05 Bohr magnetons per cell
calculated volume: 22.7 Å³/atom
crystal system: cubic

=====

(16)
First-principles (PBE) data for HoAuSeO after structural relaxation, as listed in the Open Quantum Materials Database.

a b c (Å): 3.9579 3.9579 19.1885
angles (deg): 90.00 90.00 90.20
Atoms (fractional coordinates):
1 O 0.9650 0.0350 0.0000
2 O 0.9650 0.0350 0.5000
3 O 0.4650 0.5350 0.5000
4 O 0.4650 0.5350 0.0000
5 Au 0.2156 0.7796 0.2502
6 Au 0.2204 0.7844 0.7498
7 Au 0.7204 0.2844 0.7502
8 Au 0.7156 0.2796 0.2498
9 Se 0.9643 0.5329 0.1387
10 Se 0.9671 0.5357 0.6387
11 Se 0.4643 0.0329 0.3613
12 Se 0.4671 0.0357 0.8613
13 Ho 0.4649 0.0350 0.0567
14 Ho 0.9650 0.5351 0.9433
15 Ho 0.9649 0.5350 0.4433
16 Ho 0.4650 0.0351 0.5567

Summary:
offset from the most stable computed form: 0.0121 eV/atom
size of the total moment: 0.00 Bohr magnetons per cell
calculated volume: 18.8 Å³/atom
crystal system: orthorhombic

=====

(17)
First-principles (PBE) data for Pt after structural relaxation, as listed in the Open Quantum Materials Database.

a b c (Å): 6.8336 6.8336 6.8336
angles (deg): 90.00 90.00 90.00
Atoms (fractional coordinates):
1 Pt 0.6928 0.0572 0.8750
2 Pt 0.6250 0.3072 0.5572
3 Pt 0.2018 0.7982 0.2982
4 Pt 0.9428 0.3750 0.8072
5 Pt 0.3072 0.5572 0.6250
6 Pt 0.0482 0.0482 0.0482
7 Pt 0.5572 0.6250 0.3072
8 Pt 0.7018 0.7018 0.7018
9 Pt 0.4518 0.9518 0.5482
10 Pt 0.9518 0.5482 0.4518
11 Pt 0.8072 0.9428 0.3750
12 Pt 0.0572 0.8750 0.6928
13 Pt 0.8750 0.6928 0.0572
14 Pt 0.4428 0.1250 0.1928
15 Pt 0.2982 0.2018 0.7982
16 Pt 0.7982 0.2982 0.2018
17 Pt 0.1250 0.1928 0.4428
18 Pt 0.1928 0.4428 0.1250
19 Pt 0.3750 0.8072 0.9428
20 Pt 0.5482 0.4518 0.9518

Summary:
E_form: 173.0 meV/atom
offset from the most stable computed form: 0.1730 eV/atom
size of the total moment: 0.04 Bohr magnetons per cell
calculated volume: 16.0 Å³/atom
crystal system: cubic

=====

(18)
First-principles (PBE) data for UGaTe after structural relaxation, as listed in the Open Quantum Materials Database.

a b c (Å): 4.9543 4.9543 4.9543
angles (deg): 60.00 60.00 60.00
Atoms (fractional coordinates):
1 Ga 0.2500 0.2500 0.2500
2 U 0.0000 0.0000 0.0000
3 Te 0.7500 0.7500 0.7500

Summary:
offset from the most stable computed form: 0.0000 eV/atom
size of the total moment: 2.49 Bohr magnetons per cell
calculated volume: 28.7 Å³/atom
crystal system: cubic

=====

(19)
First-principles (PBE) data for ZrNb2Tc after structural relaxation, as listed in the Open Quantum Materials Database.

a b c (Å): 4.6609 4.6609 4.6609
angles (deg): 60.00 60.00 60.00
Atoms (fractional coordinates):
1 Nb 0.5000 0.5000 0.5000
2 Nb 0.2500 0.2500 0.2500
3 Zr 0.7500 0.7500 0.7500
4 Tc 0.0000 0.0000 0.0000

Summary:
E_form: -110.7 meV/atom
size of the total moment: 0.00 Bohr magnetons per cell
calculated volume: 17.9 Å³/atom
crystal system: cubic

=====

(20)
First-principles (PBE) data for Cs2AgSbCl6 after structural relaxation, as listed in the Open Quantum Materials Database.

a b c (Å): 7.5978 7.6015 10.7474
angles (deg): 90.02 90.00 90.00
Atoms (fractional coordinates):
1 Cl 0.4490 0.5492 0.7475
2 Cl 0.7026 0.7921 0.5008
3 Cl 0.9511 0.0505 0.7525
4 Cl 0.4510 0.5502 0.2525
5 Cl 0.1951 0.8003 0.0004
6 Cl 0.2004 0.2950 0.0007
7 Cl 0.6997 0.8055 0.9993
8 Cl 0.9489 0.0501 0.2475
9 Cl 0.2072 0.8021 0.4997
10 Cl 0.1973 0.3073 0.4992
11 Cl 0.6925 0.2973 0.5002
12 Cl 0.7052 0.3004 0.9996
13 Ag 0.9499 0.0497 0.5000
14 Ag 0.4501 0.5503 0.0000
15 Cs 0.4500 0.0499 0.2500
16 Cs 0.9500 0.5503 0.2498
17 Cs 0.9501 0.5500 0.7502
18 Cs 0.4500 0.0498 0.7499
19 Sb 0.9501 0.0504 0.0000
20 Sb 0.4499 0.5497 0.5000

Summary:
calculated volume: 31.0 Å³/atom
energy: -3.27 eV per atom
crystal system: triclinic